# NaHoAg2I6

A geometry-optimized NaHoAg2I6 structure (PBE-GGA, Alexandria via LeMat-Bulk).

a b c (Å): 7.726 7.724 8.390
angles (deg): 62.59 62.55 59.94
Element x y z (fractional)
I (0.247, 0.922, 0.246)
I (0.394, 0.737, 0.756)
Ag (0.510, 0.510, 0.471)
Na (0.821, 0.822, 0.535)
I (0.923, 0.585, 0.246)
Ho (0.329, 0.328, 0.014)
I (0.585, 0.246, 0.246)
I (0.114, 0.395, 0.755)
I (0.737, 0.114, 0.754)
Ag (0.002, 0.003, 0.993)

DOS at the Fermi energy, states/eV/cell: 0.00
Total magnetic moment, μB per cell: 0.00
Space-group type: P1, No. 1
Formation energy without anion corrections, eV/atom: -0.86
Calculated density, g/cm³: 5.27
Volume, Å³/cell: 366.97

***

# Rb3HoAg2I9

A geometry-optimized Rb3HoAg2I9 structure (PBE-GGA, Alexandria via LeMat-Bulk).

a b c (Å): 8.419 8.419 10.500
angles (deg): 90.00 90.00 120.00
Element x y z (fractional)
I (0.500, 0.000, 0.000)
I (0.832, 0.664, 0.666)
I (0.000, 0.500, 0.000)
Rb (0.333, 0.667, 0.688)
I (0.664, 0.832, 0.334)
Ag (0.667, 0.333, 0.847)
I (0.168, 0.832, 0.334)
I (0.832, 0.168, 0.666)
Rb (0.667, 0.333, 0.312)
I (0.168, 0.336, 0.334)
Rb (0.000, 0.000, 0.000)
Ho (0.000, 0.000, 0.500)
I (0.336, 0.168, 0.666)
I (0.500, 0.500, 0.000)
Ag (0.333, 0.667, 0.153)

DOS at the Fermi energy, states/eV/cell: 6.12
Total magnetic moment, μB per cell: 0.00
Space-group type: P-3m1, No. 164
Formation energy without anion corrections, eV/atom: -0.98
Calculated density, g/cm³: 4.58
Volume, Å³/cell: 644.49

***

# Rb3HoAg2I8

A geometry-optimized Rb3HoAg2I8 structure (PBE-GGA, Alexandria via LeMat-Bulk).

a b c (Å): 8.515 8.515 10.664
angles (deg): 90.00 90.00 120.00
Element x y z (fractional)
Rb (0.333, 0.667, 0.608)
Rb (0.667, 0.333, 0.392)
I (0.837, 0.674, 0.670)
I (0.163, 0.837, 0.330)
I (0.667, 0.333, 0.064)
I (0.326, 0.163, 0.670)
Ag (0.667, 0.333, 0.813)
Rb (0.000, 0.000, 0.000)
I (0.333, 0.667, 0.936)
I (0.837, 0.163, 0.670)
I (0.163, 0.326, 0.330)
Ag (0.333, 0.667, 0.187)
I (0.674, 0.837, 0.330)
Ho (0.000, 0.000, 0.500)

DOS at the Fermi energy, states/eV/cell: 0.00
Total magnetic moment, μB per cell: 0.00
Space-group type: P-3m1, No. 164
Formation energy without anion corrections, eV/atom: -1.05
Calculated density, g/cm³: 4.10
Volume, Å³/cell: 669.52

***

# Rb2HoAg2I6

A geometry-optimized Rb2HoAg2I6 structure (PBE-GGA, Alexandria via LeMat-Bulk).

a b c (Å): 9.411 8.297 8.702
angles (deg): 112.16 90.00 124.55
Element x y z (fractional)
I (0.254, 0.509, 0.377)
I (0.758, 0.075, 0.776)
I (0.317, 0.075, 0.776)
I (0.242, 0.925, 0.224)
I (0.746, 0.491, 0.623)
Rb (0.286, 0.572, 0.823)
Ho (0.500, 0.000, 0.500)
Rb (0.714, 0.428, 0.177)
Ag (0.964, 0.929, 0.625)
Ag (0.036, 0.071, 0.375)
I (0.683, 0.925, 0.224)

DOS at the Fermi energy, states/eV/cell: 3.06
Total magnetic moment, μB per cell: 0.00
Space-group type: C2/m, No. 12
Formation energy without anion corrections, eV/atom: -0.95
Calculated density, g/cm³: 4.38
Volume, Å³/cell: 497.46

***

# Rb2HoAgI6

A geometry-optimized Rb2HoAgI6 structure (PBE-GGA, Alexandria via LeMat-Bulk).

a b c (Å): 8.388 8.685 11.695
angles (deg): 90.00 90.09 90.00
Element x y z (fractional)
I (0.695, 0.290, 0.540)
I (0.416, 0.990, 0.753)
Ag (0.500, 0.000, 0.000)
Rb (0.978, 0.072, 0.749)
Rb (0.022, 0.928, 0.251)
Ag (0.000, 0.500, 0.500)
Rb (0.478, 0.428, 0.249)
I (0.916, 0.510, 0.253)
I (0.584, 0.010, 0.247)
I (0.208, 0.198, 0.458)
Ho (0.500, 0.000, 0.500)
I (0.084, 0.490, 0.747)
I (0.195, 0.210, 0.040)
I (0.792, 0.802, 0.542)
I (0.708, 0.302, 0.958)
I (0.305, 0.710, 0.460)
I (0.805, 0.790, 0.960)
Rb (0.522, 0.572, 0.751)
I (0.292, 0.698, 0.042)
Ho (0.000, 0.500, 0.000)

DOS at the Fermi energy, states/eV/cell: 0.00
Total magnetic moment, μB per cell: 0.00
Space-group type: P2_1/c, No. 14
Formation energy without anion corrections, eV/atom: -1.19
Calculated density, g/cm³: 4.70
Volume, Å³/cell: 852.02

***

# HoTl2AgI6

A geometry-optimized HoTl2AgI6 structure (PBE-GGA, Alexandria via LeMat-Bulk).

a b c (Å): 8.051 8.601 11.503
angles (deg): 90.00 89.27 90.00
Element x y z (fractional)
I (0.113, 0.479, 0.748)
I (0.887, 0.521, 0.252)
I (0.318, 0.699, 0.448)
Ho (0.500, 0.000, 0.500)
I (0.308, 0.688, 0.052)
Ag (0.000, 0.500, 0.500)
I (0.818, 0.801, 0.948)
Ho (0.000, 0.500, 0.000)
Ag (0.500, 0.000, 0.000)
I (0.387, 0.979, 0.752)
I (0.182, 0.199, 0.052)
I (0.808, 0.812, 0.552)
I (0.613, 0.021, 0.248)
Tl (0.535, 0.595, 0.755)
I (0.192, 0.188, 0.448)
I (0.682, 0.301, 0.552)
Tl (0.465, 0.405, 0.245)
I (0.692, 0.312, 0.948)
Tl (0.965, 0.095, 0.745)
Tl (0.035, 0.905, 0.255)

DOS at the Fermi energy, states/eV/cell: 0.00
Total magnetic moment, μB per cell: 0.00
Space-group type: P2_1/c, No. 14
Formation energy without anion corrections, eV/atom: -0.84
Calculated density, g/cm³: 6.02
Volume, Å³/cell: 796.40

***

# HoIn6Ag

A geometry-optimized HoIn6Ag structure (PBE-GGA, Alexandria via LeMat-Bulk).

a b c (Å): 4.817 6.611 6.611
angles (deg): 71.54 90.00 90.00
Element x y z (fractional)
Ho (0.500, 0.000, 0.000)
In (0.000, 0.784, 0.784)
In (0.500, 0.500, 0.000)
In (0.000, 0.294, 0.706)
Ag (0.500, 0.500, 0.500)
In (0.000, 0.706, 0.294)
In (0.000, 0.216, 0.216)
In (0.500, 0.000, 0.500)

DOS at the Fermi energy, states/eV/cell: 3.05
Total magnetic moment, μB per cell: 0.00
Space-group type: Cmmm, No. 65
Final energy, eV/cell: -24.90
Calculated density, g/cm³: 8.00
Volume, Å³/cell: 199.67

***

# HoIn5Ag

A geometry-optimized HoIn5Ag structure (PBE-GGA, Alexandria via LeMat-Bulk).

a b c (Å): 4.816 4.816 7.559
angles (deg): 90.00 90.00 90.00
Element x y z (fractional)
In (0.000, 0.500, 0.288)
In (0.500, 0.000, 0.712)
In (0.500, 0.500, 0.000)
In (0.000, 0.500, 0.712)
Ho (0.000, 0.000, 0.000)
In (0.500, 0.000, 0.288)
Ag (0.000, 0.000, 0.500)

DOS at the Fermi energy, states/eV/cell: 2.34
Total magnetic moment, μB per cell: 0.00
Space-group type: P4/mmm, No. 123
Final energy, eV/cell: -22.50
Calculated density, g/cm³: 8.02
Volume, Å³/cell: 175.33

***

# Ho3In3Ag2

A geometry-optimized Ho3In3Ag2 structure (PBE-GGA, Alexandria via LeMat-Bulk).

a b c (Å): 4.595 4.814 9.230
angles (deg): 105.05 104.41 90.00
Element x y z (fractional)
Ag (0.754, 0.755, 0.508)
Ho (0.000, 0.000, 0.000)
In (0.639, 0.139, 0.278)
Ho (0.141, 0.641, 0.281)
In (0.361, 0.861, 0.722)
In (0.500, 0.500, 0.000)
Ag (0.246, 0.245, 0.492)
Ho (0.859, 0.359, 0.719)

DOS at the Fermi energy, states/eV/cell: 4.76
Total magnetic moment, μB per cell: 0.00
Space-group type: C2/m, No. 12
Energy above the lowest structure with this stoichiometry, eV/atom: 0.016
Calculated density, g/cm³: 9.20
Volume, Å³/cell: 190.51

***

# Ho5InAg

A geometry-optimized Ho5InAg structure (PBE-GGA, Alexandria via LeMat-Bulk).

a b c (Å): 5.883 5.883 11.793
angles (deg): 100.70 100.70 87.66
Element x y z (fractional)
Ho (0.769, 0.491, 0.560)
Ho (0.231, 0.509, 0.440)
Ho (0.069, 0.464, 0.135)
Ag (0.000, 0.000, 0.500)
In (0.397, 0.603, 0.750)
Ho (0.464, 0.069, 0.635)
Ho (0.491, 0.769, 0.060)
Ho (0.012, 0.988, 0.750)
Ag (0.000, 0.000, 0.000)
Ho (0.509, 0.231, 0.940)
Ho (0.988, 0.012, 0.250)
In (0.603, 0.397, 0.250)
Ho (0.931, 0.536, 0.865)
Ho (0.536, 0.931, 0.365)

DOS at the Fermi energy, states/eV/cell: 17.30
Total magnetic moment, μB per cell: 0.00
Space-group type: C2/c, No. 15
Final energy, eV/cell: -57.78
Calculated density, g/cm³: 8.83
Volume, Å³/cell: 394.07

***

# Ho6InAg

A geometry-optimized Ho6InAg structure (PBE-GGA, Alexandria via LeMat-Bulk).

a b c (Å): 8.794 8.369 6.065
angles (deg): 46.45 43.49 58.25
Element x y z (fractional)
Ho (0.455, 0.753, 0.815)
Ag (0.000, 0.000, 0.000)
Ho (0.022, 0.454, 0.772)
Ho (0.978, 0.546, 0.228)
Ho (0.545, 0.247, 0.185)
Ho (0.753, 0.977, 0.725)
In (0.500, 0.500, 0.500)
Ho (0.247, 0.023, 0.275)

DOS at the Fermi energy, states/eV/cell: 7.40
Total magnetic moment, μB per cell: 0.00
Space-group type: P-1, No. 2
Energy above the lowest structure with this stoichiometry, eV/atom: 0.076
Calculated density, g/cm³: 9.05
Volume, Å³/cell: 222.35

***

# Ho3InAg2

A geometry-optimized Ho3InAg2 structure (PBE-GGA, Alexandria via LeMat-Bulk).

a b c (Å): 3.598 3.598 11.393
angles (deg): 90.00 90.00 90.00
Element x y z (fractional)
Ho (0.000, 0.000, 0.000)
Ho (0.000, 0.000, 0.678)
Ag (0.500, 0.500, 0.162)
In (0.500, 0.500, 0.500)
Ag (0.500, 0.500, 0.838)
Ho (0.000, 0.000, 0.322)

DOS at the Fermi energy, states/eV/cell: 3.52
Total magnetic moment, μB per cell: 0.00
Space-group type: P4/mmm, No. 123
Final energy, eV/cell: -24.43
Calculated density, g/cm³: 9.29
Volume, Å³/cell: 147.45